(1)
A relaxed Ca2CuAg crystal. Source: Alexandria, functional GGA-PBE.

## Properties
E = -2.7618 eV per atom

Cell lengths 7.051, 4.304, 7.793 Å; angles 90.00, 109.70, 90.00 degrees
Space group C2/m (No. 12)
One atom of each set of equivalent atoms:
Ca: 0.245 0.000 0.231 (multiplicity 4)
Cu: 0.000 0.500 0.000 (multiplicity 2)
Ag: 0.000 0.000 0.500 (multiplicity 2)

(2)
A relaxed SrB3W crystal. Source: Alexandria, functional GGA-PBE.

## Properties
E = -6.5269 eV per atom
energy relative to the lowest polymorph listed for this composition = 0.000 eV per atom

Cell lengths 4.297, 4.297, 4.297 Å; angles 90.00, 90.00, 90.00 degrees
Space group Pm-3m (No. 221)
One atom of each set of equivalent atoms:
Sr: 0.000 0.000 0.000 (multiplicity 1)
B: 0.000 0.500 0.500 (multiplicity 3)
W: 0.500 0.500 0.500 (multiplicity 1)

Formation energy? In order: -0.02; 0.41 eV/atom.